The following is a DFT calculation (PBE) of a geometry-optimized Ti3SnPd4 structure.

```
Ti3SnPd4
1.0
4.844 0.000 0.000
0.000 5.730 0.000
0.000 0.000 9.418
Sn Pd Ti
2 8 6
Cartesian
0.000 2.865 0.000
0.000 2.865 4.709
2.422 4.344 0.000
2.422 4.344 4.709
2.422 1.387 0.000
2.422 1.387 4.709
0.522 4.352 7.064
4.322 4.352 2.355
4.322 1.379 2.355
0.522 1.379 7.064
0.000 0.000 0.000
0.000 0.000 4.709
2.864 0.000 7.064
1.980 0.000 2.355
2.846 2.865 7.064
1.997 2.865 2.355
```

Values from the calculation:
Total magnetization ... 0.0928 μB per atom
ΔE_f ... -0.5196 eV/atom
Calculated density ... 8.7 Mg/m³
Final energy ... -0.4834 Ry per atom